# 1
## Dy2Zn2In3 (GGA-PBE)

Data for a geometry-optimized Dy2Zn2In3 structure.

Summary:
energy relative to the elements: -31 kJ per mole of atoms
space group: Cmmm, No. 65
ρ: 8072 kg/m³
energy: -22.20 eV for the cell shown
Fermi-level density of states: 4.35 states/eV/f.u.
total magnetic moment: 0.00 μB/cell

abc: 10.353 10.353 3.666
angles: 90.00 90.00 155.23
Atoms (fractional coordinates):
Dy 0.164 0.836 0.000
Dy 0.836 0.164 0.000
Zn 0.283 0.717 0.500
Zn 0.717 0.283 0.500
In 0.000 0.000 0.000
In 0.422 0.578 0.500
In 0.578 0.422 0.500

=====

# 2
## Dy11Zn4In9 (GGA-PBE)

Data for a geometry-optimized Dy11Zn4In9 structure.

Summary:
energy relative to the elements: -42 kJ per mole of atoms
space group: Cmmm, No. 65
ρ: 8561 kg/m³
energy: -90.82 eV for the cell shown
Fermi-level density of states: 18.19 states/eV/f.u.
total magnetic moment: 0.00 μB/cell

abc: 13.200 13.200 3.721
angles: 90.00 90.00 112.77
Atoms (fractional coordinates):
Dy 0.000 0.000 0.000
Dy 0.065 0.412 0.000
Dy 0.162 0.838 0.000
Dy 0.302 0.302 0.000
Dy 0.369 0.631 0.000
Dy 0.412 0.065 0.000
Dy 0.588 0.935 0.000
Dy 0.631 0.369 0.000
Dy 0.698 0.698 0.000
Dy 0.838 0.162 0.000
Dy 0.935 0.588 0.000
Zn 0.250 0.449 0.500
Zn 0.449 0.250 0.500
Zn 0.551 0.750 0.500
Zn 0.750 0.551 0.500
In 0.070 0.216 0.500
In 0.157 0.631 0.500
In 0.216 0.070 0.500
In 0.369 0.843 0.500
In 0.500 0.500 0.500
In 0.631 0.157 0.500
In 0.784 0.930 0.500
In 0.843 0.369 0.500
In 0.930 0.784 0.500

=====

# 3
## Dy3Zn2In3 (GGA-PBE)

Data for a geometry-optimized Dy3Zn2In3 structure.

Summary:
energy relative to the elements: -40 kJ per mole of atoms
space group: Cmcm, No. 63
ρ: 8281 kg/m³
energy: -55.74 eV for the cell shown
Fermi-level density of states: 5.51 states/eV/f.u.
total magnetic moment: 0.46 μB/cell

abc: 5.961 5.961 15.341
angles: 90.00 90.00 134.89
Atoms (fractional coordinates):
Dy 0.082 0.918 0.612
Dy 0.082 0.918 0.888
Dy 0.351 0.649 0.750
Dy 0.649 0.351 0.250
Dy 0.918 0.082 0.112
Dy 0.918 0.082 0.388
Zn 0.210 0.790 0.109
Zn 0.210 0.790 0.391
Zn 0.790 0.210 0.609
Zn 0.790 0.210 0.891
In 0.361 0.639 0.250
In 0.378 0.622 0.539
In 0.378 0.622 0.961
In 0.622 0.378 0.039
In 0.622 0.378 0.461
In 0.639 0.361 0.750